No. 1
VASP calculation (PBE) on a relaxed Hf3BN crystal.

Lattice parameters (Å, degrees): 5.835 3.489 8.442 90.00 101.98 90.00
Element x y z (fractional)
Hf1 0.047 0.250 0.163
Hf2 0.265 0.750 0.474
Hf3 0.447 0.750 0.844
Hf4 0.553 0.250 0.156
Hf5 0.735 0.250 0.526
Hf6 0.953 0.750 0.837
B1 0.228 0.250 0.935
B2 0.772 0.750 0.065
N1 0.382 0.250 0.366
N2 0.618 0.750 0.634

Output
Fermi-level density of states = 0.407 states/eV/atom
offset from the most stable computed form = 0.0 meV per atom
E_form (uncorrected) = -0.559 eV/atom
crystal system = monoclinic
raw total energy = -95.32 eV for the cell shown

=====

No. 2
VASP calculation (PBE) on a relaxed B5C7 crystal.

Lattice parameters (Å, degrees): 4.501 4.501 7.949 118.32 118.32 33.64
Element x y z (fractional)
B1 0.000 0.000 0.000
B2 0.036 0.036 0.471
B3 0.316 0.316 0.675
B4 0.682 0.682 0.305
B5 0.882 0.882 0.565
C1 0.140 0.140 0.717
C2 0.196 0.196 0.202
C3 0.345 0.345 0.155
C4 0.500 0.500 0.879
C5 0.522 0.522 0.354
C6 0.657 0.657 0.838
C7 0.834 0.834 0.036

Output
calculated formation energy = 0.3953 eV/atom
Fermi-level density of states = 0.210 states/eV/atom
offset from the most stable computed form = 137.3 meV per atom
crystal system = monoclinic
raw total energy = -93.21 eV for the cell shown

=====

No. 3
VASP calculation (PBE) on a relaxed AcInIrO6 crystal.

Lattice parameters (Å, degrees): 5.491 5.491 5.287 90.00 90.00 120.00
Element x y z (fractional)
Ac1 0.000 0.000 0.000
In1 0.333 0.667 0.500
Ir1 0.667 0.333 0.500
O1 0.384 0.031 0.712
O2 0.384 0.352 0.288
O3 0.648 0.031 0.288
O4 0.648 0.616 0.712
O5 0.969 0.352 0.712
O6 0.969 0.616 0.288

Output
Fermi-level density of states = 0.286 states/eV/atom
E_form (uncorrected) = -1.668 eV/atom
crystal system = trigonal
raw total energy = -60.47 eV for the cell shown

=====

No. 4
VASP calculation (PBE) on a relaxed LaOsSN2 crystal.

Lattice parameters (Å, degrees): 4.118 4.118 5.983 90.00 90.00 90.00
Element x y z (fractional)
La1 0.000 0.000 0.000
Os1 0.500 0.500 0.500
S1 0.000 0.000 0.500
N1 0.000 0.500 0.000
N2 0.500 0.000 0.000

Output
Fermi-level density of states = 0.895 states/eV/atom
offset from the most stable computed form = 2119.5 meV per atom
E_form (uncorrected) = 1.701 eV/atom
crystal system = tetragonal
raw total energy = -28.43 eV for the cell shown

=====

No. 5
VASP calculation (PBE) on a relaxed ScCd2Cu2 crystal.

Lattice parameters (Å, degrees): 6.603 6.603 6.603 144.82 144.82 50.61
Element x y z (fractional)
Sc1 0.000 0.000 0.000
Cd1 0.250 0.750 0.500
Cd2 0.750 0.250 0.500
Cu1 0.404 0.404 0.000
Cu2 0.596 0.596 0.000

Output
calculated formation energy = -0.0069 eV/atom
Fermi-level density of states = 0.727 states/eV/atom
offset from the most stable computed form = 16.7 meV per atom
crystal system = tetragonal
raw total energy = -16.39 eV for the cell shown

=====

No. 6
VASP calculation (PBE) on a relaxed Tb7Er2Pu crystal.

Lattice parameters (Å, degrees): 10.176 10.176 3.423 90.00 90.00 108.25
Element x y z (fractional)
Tb1 0.000 0.000 0.000
Tb2 0.113 0.372 0.000
Tb3 0.175 0.825 0.500
Tb4 0.372 0.113 0.000
Tb5 0.628 0.887 0.000
Tb6 0.825 0.175 0.500
Tb7 0.887 0.628 0.000
Er1 0.336 0.664 0.000
Er2 0.664 0.336 0.000
Pu1 0.500 0.500 0.500

Output
calculated formation energy = 0.4645 eV/atom
Fermi-level density of states = 2.073 states/eV/atom
crystal system = orthorhombic
raw total energy = -51.22 eV for the cell shown

=====

No. 7
VASP calculation (PBE) on a relaxed HfZn2Si2 crystal.

Lattice parameters (Å, degrees): 7.023 7.023 3.326 90.00 90.00 90.00
Element x y z (fractional)
Hf1 0.000 0.000 0.000
Hf2 0.500 0.500 0.000
Zn1 0.165 0.335 0.500
Zn2 0.335 0.835 0.500
Zn3 0.665 0.165 0.500
Zn4 0.835 0.665 0.500
Si1 0.130 0.630 0.000
Si2 0.370 0.130 0.000
Si3 0.630 0.870 0.000
Si4 0.870 0.370 0.000

Output
Fermi-level density of states = 0.531 states/eV/atom
E_form (uncorrected) = 0.015 eV/atom
crystal system = tetragonal
raw total energy = -46.54 eV for the cell shown

=====

No. 8
VASP calculation (PBE) on a relaxed NaVSb2 crystal.

Lattice parameters (Å, degrees): 3.342 3.342 8.260 90.00 90.00 90.00
Element x y z (fractional)
Na1 0.000 0.000 0.000
V1 0.000 0.000 0.500
Sb1 0.500 0.500 0.299
Sb2 0.500 0.500 0.701

Output
Fermi-level density of states = 0.535 states/eV/atom
offset from the most stable computed form = 0.0 meV per atom
E_form (uncorrected) = -0.118 eV/atom
crystal system = tetragonal
raw total energy = -19.16 eV for the cell shown

=====

No. 9
VASP calculation (PBE) on a relaxed BeAl2Sb crystal.

Lattice parameters (Å, degrees): 4.980 4.980 4.980 135.07 121.08 77.05
Element x y z (fractional)
Be1 0.000 0.000 0.000
Al1 0.517 0.517 0.000
Al2 0.786 0.286 0.500
Sb1 0.233 0.733 0.500

Output
Fermi-level density of states = 0.311 states/eV/atom
offset from the most stable computed form = 142.0 meV per atom
E_form (uncorrected) = 0.397 eV/atom
crystal system = orthorhombic
raw total energy = -13.75 eV for the cell shown

=====

No. 10
VASP calculation (PBE) on a relaxed Li3Mo crystal.

Lattice parameters (Å, degrees): 4.370 4.370 4.370 60.00 60.00 60.00
Element x y z (fractional)
Li1 0.000 0.000 0.000
Li2 0.250 0.250 0.250
Li3 0.750 0.750 0.750
Mo1 0.500 0.500 0.500

Output
calculated formation energy = 0.8353 eV/atom
Fermi-level density of states = 0.735 states/eV/atom
offset from the most stable computed form = 603.3 meV per atom
crystal system = cubic
raw total energy = -13.23 eV for the cell shown

=====

No. 11
VASP calculation (PBE) on a relaxed CdSe2N crystal.

Lattice parameters (Å, degrees): 7.104 7.104 7.104 134.99 134.99 65.54
Element x y z (fractional)
Cd1 0.000 0.000 0.000
Cd2 0.750 0.250 0.500
Se1 0.221 0.625 0.096
Se2 0.375 0.471 0.596
Se3 0.529 0.125 0.904
Se4 0.875 0.779 0.404
N1 0.250 0.750 0.500
N2 0.500 0.500 0.000

Output
Fermi-level density of states = 0.181 states/eV/atom
offset from the most stable computed form = 51.2 meV per atom
E_form (uncorrected) = 0.612 eV/atom
crystal system = tetragonal
raw total energy = -27.52 eV for the cell shown

=====

No. 12
VASP calculation (PBE) on a relaxed CaTi crystal.

Lattice parameters (Å, degrees): 5.973 6.378 11.641 90.00 90.00 90.00
Element x y z (fractional)
Ca1 0.001 0.001 0.249
Ca2 0.008 0.245 0.565
Ca3 0.492 0.755 0.065
Ca4 0.499 0.999 0.749
Ca5 0.501 0.499 0.751
Ca6 0.508 0.255 0.435
Ca7 0.992 0.745 0.935
Ca8 0.999 0.501 0.251
Ti1 0.008 0.744 0.667
Ti2 0.244 0.750 0.492
Ti3 0.256 0.250 0.992
Ti4 0.492 0.256 0.167
Ti5 0.508 0.756 0.333
Ti6 0.744 0.750 0.508
Ti7 0.756 0.250 0.008
Ti8 0.992 0.244 0.833

Output
calculated formation energy = 0.5226 eV/atom
Fermi-level density of states = 1.624 states/eV/atom
offset from the most stable computed form = 69.4 meV per atom
crystal system = orthorhombic
raw total energy = -70.81 eV for the cell shown

=====

No. 13
VASP calculation (PBE) on a relaxed BaNiI4 crystal.

Lattice parameters (Å, degrees): 7.150 7.150 7.150 112.22 112.22 104.10
Element x y z (fractional)
Ba1 0.000 0.000 0.000
Ni1 0.250 0.750 0.500
I1 0.022 0.972 0.498
I2 0.028 0.526 0.050
I3 0.474 0.524 0.502
I4 0.476 0.978 0.950

Output
Fermi-level density of states = 0.308 states/eV/atom
E_form (uncorrected) = -0.845 eV/atom
crystal system = tetragonal
raw total energy = -18.97 eV for the cell shown

=====

No. 14
VASP calculation (PBE) on a relaxed Pm2ErRh9 crystal.

Lattice parameters (Å, degrees): 9.380 9.380 9.380 32.66 32.66 32.66
Element x y z (fractional)
Pm1 0.139 0.139 0.139
Pm2 0.861 0.861 0.861
Er1 0.000 0.000 0.000
Rh1 0.082 0.581 0.581
Rh2 0.333 0.333 0.333
Rh3 0.419 0.419 0.918
Rh4 0.419 0.918 0.419
Rh5 0.500 0.500 0.500
Rh6 0.581 0.082 0.581
Rh7 0.581 0.581 0.082
Rh8 0.667 0.667 0.667
Rh9 0.918 0.419 0.419

Output
calculated formation energy = -0.5245 eV/atom
Fermi-level density of states = 0.994 states/eV/atom
crystal system = trigonal
raw total energy = -86.52 eV for the cell shown

=====

No. 15
VASP calculation (PBE) on a relaxed Dy4HC2O crystal.

Lattice parameters (Å, degrees): 6.057 3.561 6.178 90.00 109.31 90.00
Element x y z (fractional)
Dy1 0.234 0.000 0.234
Dy2 0.237 0.500 0.751
Dy3 0.763 0.500 0.249
Dy4 0.766 0.000 0.766
H1 0.500 0.500 0.500
C1 0.000 0.000 0.500
C2 0.000 0.500 0.000
O1 0.500 0.000 0.000

Output
Fermi-level density of states = 0.365 states/eV/atom
crystal system = monoclinic
raw total energy = -53.81 eV for the cell shown

=====

No. 16
VASP calculation (PBE) on a relaxed Y2ScRh crystal.

Lattice parameters (Å, degrees): 3.498 3.518 8.095 90.00 90.00 90.00
Element x y z (fractional)
Y1 0.000 0.000 0.202
Y2 0.000 0.000 0.798
Sc1 0.500 0.500 0.500
Rh1 0.500 0.500 0.000

Output
calculated formation energy = -0.3604 eV/atom
Fermi-level density of states = 1.097 states/eV/atom
offset from the most stable computed form = 99.4 meV per atom
crystal system = orthorhombic
raw total energy = -28.05 eV for the cell shown

=====

No. 17
VASP calculation (PBE) on a relaxed Ac2Al4Ge3Au crystal.

Lattice parameters (Å, degrees): 4.740 4.740 9.961 90.00 90.00 90.00
Element x y z (fractional)
Ac1 0.000 0.500 0.243
Ac2 0.500 0.000 0.757
Al1 0.000 0.000 0.500
Al2 0.000 0.500 0.881
Al3 0.500 0.000 0.119
Al4 0.500 0.500 0.500
Ge1 0.000 0.000 0.000
Ge2 0.000 0.500 0.621
Ge3 0.500 0.000 0.379
Au1 0.500 0.500 0.000

Output
calculated formation energy = -0.4448 eV/atom
Fermi-level density of states = 0.347 states/eV/atom
crystal system = tetragonal
raw total energy = -44.76 eV for the cell shown

=====

No. 18
VASP calculation (PBE) on a relaxed PRuSe2 crystal.

Lattice parameters (Å, degrees): 4.722 3.666 4.964 90.00 118.30 90.00
Element x y z (fractional)
P1 0.000 0.000 0.000
Ru1 0.831 0.500 0.660
Se1 0.317 0.500 0.633
Se2 0.622 0.000 0.241

Output
Fermi-level density of states = 0.583 states/eV/atom
E_form (uncorrected) = -0.034 eV/atom
crystal system = monoclinic
raw total energy = -21.79 eV for the cell shown

=====

No. 19
VASP calculation (PBE) on a relaxed Tb6NdSc crystal.

Lattice parameters (Å, degrees): 5.736 5.736 9.111 102.37 102.37 75.48
Element x y z (fractional)
Tb1 0.047 0.559 0.210
Tb2 0.133 0.133 0.427
Tb3 0.441 0.953 0.790
Tb4 0.559 0.047 0.210
Tb5 0.867 0.867 0.573
Tb6 0.953 0.441 0.790
Nd1 0.000 0.000 0.000
Sc1 0.500 0.500 0.500

Output
calculated formation energy = 0.3955 eV/atom
Fermi-level density of states = 1.797 states/eV/atom
offset from the most stable computed form = 360.3 meV per atom
crystal system = monoclinic
raw total energy = -35.72 eV for the cell shown

=====

No. 20
VASP calculation (PBE) on a relaxed BeCl3 crystal.

Lattice parameters (Å, degrees): 11.402 11.402 4.398 90.00 90.00 141.61
Element x y z (fractional)
Be1 0.165 0.835 0.750
Be2 0.835 0.165 0.250
Cl1 0.076 0.403 0.250
Cl2 0.403 0.076 0.750
Cl3 0.486 0.514 0.750
Cl4 0.514 0.486 0.250
Cl5 0.597 0.924 0.250
Cl6 0.924 0.597 0.750

Output
offset from the most stable computed form = 0.0 meV per atom
E_form (uncorrected) = -0.793 eV/atom
crystal system = orthorhombic
raw total energy = -24.87 eV for the cell shown